1.
{
  "formula": "Rb4Nd3PtO8",
  "functional": "PBE",
  "state": "optimized geometry",
  "lattice_angstrom": [[-6.507, 2.278, 1.068], [-0.735, -4.820, 5.800], [5.551, 4.845, 0.703]],
  "species": ["Rb", "Rb", "Rb", "Rb", "Nd", "Nd", "Nd", "Pt", "O", "O", "O", "O", "O", "O", "O", "O"],
  "fractional_positions": [[0.500, 0.000, 0.000], [0.500, 0.000, 0.500], [0.000, 0.000, 0.000], [0.000, 0.000, 0.500], [0.500, 0.500, 0.000], [0.500, 0.500, 0.500], [0.000, 0.500, 0.500], [0.000, 0.500, 0.000], [0.185, 0.656, 0.937], [0.284, 0.728, 0.568], [0.289, 0.321, 0.579], [0.753, 0.656, 0.937], [0.247, 0.344, 0.063], [0.711, 0.679, 0.421], [0.716, 0.272, 0.432], [0.815, 0.344, 0.063]],
  "sg": "C2/m",
  "volume_a3_per_fu": 304,
  "e_tot_ev_per_cell": -96.41,
  "m_tot_mub_per_atom": 0.07
}

2.
{
  "formula": "KNa2SbO4",
  "functional": "PBE",
  "state": "optimized geometry",
  "lattice_angstrom": [[-4.162, -5.932, 0.008], [6.437, -2.814, -1.778], [-0.194, 3.721, 5.344]],
  "species": ["K", "K", "Na", "Na", "Na", "Na", "Sb", "Sb", "O", "O", "O", "O", "O", "O", "O", "O"],
  "fractional_positions": [[0.000, 0.500, 0.000], [0.000, 0.500, 0.500], [0.500, 0.000, 0.000], [0.500, 0.000, 0.500], [0.000, 0.000, 0.500], [0.500, 0.500, 0.000], [0.500, 0.500, 0.500], [0.000, 0.000, 0.000], [0.192, 0.847, 0.020], [0.653, 0.308, 0.480], [0.347, 0.692, 0.520], [0.808, 0.153, 0.980], [0.754, 0.746, 0.970], [0.754, 0.746, 0.530], [0.246, 0.254, 0.470], [0.246, 0.254, 0.030]],
  "sg": "Imma",
  "volume_a3_per_fu": 119,
  "e_tot_ev_per_cell": -79.20,
  "m_tot_mub_per_atom": 0.00
}

3.
{
  "formula": "Re2Ru",
  "functional": "PBE",
  "state": "optimized geometry",
  "lattice_angstrom": [[2.745, 0.000, 0.000], [-1.372, 2.377, 0.000], [0.000, 0.000, 6.742]],
  "species": ["Re", "Re", "Ru"],
  "fractional_positions": [[0.000, 0.000, 0.002], [0.333, 0.667, 0.664], [0.667, 0.333, 0.333]],
  "sg": "P-3m1",
  "de_polymorph_mev_per_atom": 132,
  "volume_a3_per_fu": 44,
  "e_form_ev_per_atom": 0.07,
  "m_tot_mub_per_atom": 0.00
}

4.
{
  "formula": "SrAl2Te",
  "functional": "PBE",
  "state": "optimized geometry",
  "lattice_angstrom": [[-0.810, -0.053, 5.551], [-1.485, -4.328, -0.258], [4.390, -1.671, 0.625]],
  "species": ["Sr", "Te", "Al", "Al"],
  "fractional_positions": [[0.500, 0.250, 0.250], [0.500, 0.750, 0.750], [0.000, 0.879, 0.993], [0.000, 0.621, 0.507]],
  "sg": "P2/m",
  "volume_a3_per_fu": 122,
  "e_tot_ev_per_cell": -13.30,
  "m_tot_mub_per_atom": 0.00
}

5.
{
  "formula": "AcInGa2Au5",
  "functional": "PBE",
  "state": "optimized geometry",
  "lattice_angstrom": [[-2.552, -3.312, 2.930], [1.560, -3.840, -2.981], [6.253, -0.899, 4.431]],
  "species": ["Ac", "In", "Ga", "Ga", "Au", "Au", "Au", "Au", "Au"],
  "fractional_positions": [[0.000, 0.000, 0.500], [0.000, 0.000, 0.000], [0.500, 0.500, 0.162], [0.500, 0.500, 0.838], [0.000, 0.500, 0.233], [0.500, 0.000, 0.233], [0.000, 0.500, 0.767], [0.500, 0.000, 0.767], [0.500, 0.500, 0.500]],
  "sg": "P4/mmm",
  "volume_a3_per_fu": 201,
  "e_form_ev_per_atom": -0.36,
  "m_tot_mub_per_atom": 0.00
}